ReSn2I2: optimized geometry, PBE.

extended XYZ file:
```
5
Lattice="4.111 0.000 0.000 0.000 4.111 0.000 2.055 2.055 10.576" Properties=species:S:1:pos:R:3 pbc="T T T"
I 4.111 2.055 5.288
I 2.055 4.111 5.288
Re 0.000 0.000 0.000
Sn 2.055 2.055 1.443
Sn 4.111 4.111 9.133
```

## Properties
Space-group type = I4/mmm, No. 139
Raw formation energy = 1.198 eV/atom
Total DFT energy (no corrections) = -3.5133 eV/atom
E above lowest polymorph = 552.5 meV per atom
Mass density = 6.30 g cm⁻³

***

NbIn2Se: optimized geometry, PBE.

extended XYZ file:
```
8
Lattice="-2.696 7.011 2.525 -7.443 -2.401 -1.280 -5.205 1.269 3.354" Properties=species:S:1:pos:R:3 pbc="T T T"
Nb 0.000 0.000 0.000
Nb -6.485 5.293 3.251
Se -5.069 2.305 0.622
Se -8.859 0.587 1.348
In -3.907 4.373 2.247
In -6.300 -0.281 0.363
In -7.733 2.672 2.978
In -12.748 4.995 3.609
```

## Properties
Space-group type = I-42d, No. 122
Raw formation energy = 0.362 eV/atom
Total DFT energy (no corrections) = -4.3960 eV/atom
Mass density = 7.26 g cm⁻³

***

Gd3TmOs: optimized geometry, PBE.

extended XYZ file:
```
5
Lattice="5.452 0.000 0.000 0.000 5.452 0.000 0.000 0.000 5.452" Properties=species:S:1:pos:R:3 pbc="T T T"
Gd 0.000 2.726 0.000
Gd 0.000 0.000 2.726
Gd 2.726 0.000 0.000
Tm 2.726 2.726 2.726
Os 0.000 0.000 0.000
```

## Properties
Space-group type = Pm-3m, No. 221
Total DFT energy (no corrections) = -11.5410 eV/atom
Energy relative to the elements = 0.239 eV per formula unit
Mass density = 8.51 g cm⁻³

***

TbEr2MgAu4: optimized geometry, PBE.

extended XYZ file:
```
8
Lattice="4.980 0.000 0.000 2.490 4.313 0.000 2.490 1.438 8.180" Properties=species:S:1:pos:R:3 pbc="T T T"
Tb 0.000 0.000 0.000
Er 7.470 4.313 6.014
Er 2.490 1.438 2.166
Mg 4.980 2.875 4.090
Au 4.980 2.875 7.157
Au 7.470 4.313 3.026
Au 2.490 1.438 5.153
Au 4.980 2.875 1.023
```

## Properties
Space-group type = R-3m, No. 166
Total DFT energy (no corrections) = -4.3741 eV/atom
Energy relative to the elements = -6.533 eV per formula unit
Mass density = 12.34 g cm⁻³

***

Hf3Tl3CuS8: optimized geometry, PBE.

extended XYZ file:
```
15
Lattice="-3.948 6.211 0.769 -3.044 -6.545 1.627 5.804 2.957 5.919" Properties=species:S:1:pos:R:3 pbc="T T T"
Hf 0.928 4.584 3.344
Hf -0.594 1.312 4.157
Hf 1.380 -1.794 3.773
Tl 0.000 0.000 0.000
Tl -1.522 -3.272 0.814
Tl -3.496 -0.167 1.198
Cu 2.902 1.478 2.959
S -0.909 -0.940 2.924
S -0.279 3.563 5.391
S -2.842 2.186 3.355
S 1.655 0.437 4.960
S -1.341 5.411 2.550
S 0.153 -2.787 5.765
S 0.604 2.352 2.171
S -1.792 0.272 6.143
```

## Properties
Space-group type = R-3m, No. 166
Raw formation energy = -1.011 eV/atom
Total DFT energy (no corrections) = -5.9488 eV/atom
Mass density = 6.69 g cm⁻³

***

HfTi2CrCo: optimized geometry, PBE.

extended XYZ file:
```
5
Lattice="4.770 0.000 0.000 0.000 4.770 0.000 0.000 0.000 4.327" Properties=species:S:1:pos:R:3 pbc="T T T"
Co 0.000 0.000 2.164
Ti 0.000 2.385 0.000
Ti 2.385 0.000 0.000
Hf 0.000 0.000 0.000
Cr 2.385 2.385 2.164
```

## Properties
Space-group type = P4/mmm, No. 123
Total DFT energy (no corrections) = -6.8092 eV/atom
Energy relative to the elements = 8.427 eV per formula unit
Mass density = 6.50 g cm⁻³

***

CsBeBi: optimized geometry, PBE.

extended XYZ file:
```
12
Lattice="-5.529 4.845 -5.677 2.263 -1.319 -3.329 -7.213 -9.547 -1.122" Properties=species:S:1:pos:R:3 pbc="T T T"
Cs -5.226 -7.881 -1.779
Cs -3.148 -1.436 -5.614
Cs -5.253 1.860 -8.350
Cs -7.331 -4.585 -4.515
Be -8.255 -0.565 -6.735
Be -1.410 1.703 -5.675
Be -2.224 -5.456 -3.394
Be -9.069 -7.724 -4.453
Bi -3.942 -3.762 -2.537
Bi -6.877 -8.791 -5.236
Bi -6.537 -2.260 -7.592
Bi -3.602 2.770 -4.893
```

## Properties
Space-group type = Pnma, No. 62
Total DFT energy (no corrections) = -2.8962 eV/atom
Energy relative to the elements = -0.228 eV per formula unit
Mass density = 4.93 g cm⁻³

***

BaNi: optimized geometry, PBE.

extended XYZ file:
```
16
Lattice="8.882 0.000 0.000 0.000 8.882 0.000 0.000 0.000 8.882" Properties=species:S:1:pos:R:3 pbc="T T T"
Ba 2.557 2.557 2.557
Ba 2.557 6.325 6.325
Ba 6.325 2.557 6.325
Ba 6.325 6.325 2.557
Ba 6.997 6.997 6.997
Ba 6.997 1.884 1.884
Ba 1.884 6.997 1.884
Ba 1.884 1.884 6.997
Ni 0.845 0.845 0.845
Ni 0.845 8.037 8.037
Ni 8.037 0.845 8.037
Ni 8.037 8.037 0.845
Ni 5.286 5.286 5.286
Ni 5.286 3.596 3.596
Ni 3.596 5.286 3.596
Ni 3.596 3.596 5.286
```

## Properties
Space-group type = I-43m, No. 217
Total DFT energy (no corrections) = -3.5019 eV/atom
Energy relative to the elements = 0.700 eV per formula unit
Mass density = 3.72 g cm⁻³

***

Lu2AgPt: optimized geometry, PBE.

extended XYZ file:
```
4
Lattice="4.918 0.000 0.000 2.459 4.259 0.000 2.459 1.420 4.016" Properties=species:S:1:pos:R:3 pbc="T T T"
Lu 2.459 1.420 1.004
Lu 7.377 4.259 3.012
Ag 4.918 2.840 2.008
Pt 0.000 0.000 0.000
```

## Properties
Space-group type = Fm-3m, No. 225
Total DFT energy (no corrections) = -5.3269 eV/atom
E above lowest polymorph = 4.5 meV per atom
Energy relative to the elements = -3.373 eV per formula unit
Mass density = 12.89 g cm⁻³

***

EuHfRh2: optimized geometry, PBE.

extended XYZ file:
```
4
Lattice="3.274 0.000 0.000 0.000 3.274 0.000 0.000 0.000 7.324" Properties=species:S:1:pos:R:3 pbc="T T T"
Eu 1.637 1.637 3.662
Rh 0.000 0.000 5.804
Rh 0.000 0.000 1.519
Hf 1.637 1.637 0.000
```

## Properties
Space-group type = P4/mmm, No. 123
Total DFT energy (no corrections) = -9.4478 eV/atom
E above lowest polymorph = 0.0 meV per atom
Energy relative to the elements = -2.860 eV per formula unit
Mass density = 11.35 g cm⁻³

***

AlOs2Pb: optimized geometry, PBE.

extended XYZ file:
```
4
Lattice="9.165 0.020 0.012 8.666 2.981 0.012 8.666 1.458 2.600" Properties=species:S:1:pos:R:3 pbc="T T T"
Pb 13.313 2.240 1.318
Os 0.016 0.003 0.002
Os 6.873 1.157 0.680
Al 19.543 3.289 1.935
```

## Properties
Space-group type = R3m, No. 160
Total DFT energy (no corrections) = -6.9328 eV/atom
E above lowest polymorph = 247.8 meV per atom
Energy relative to the elements = 2.179 eV per formula unit
Mass density = 14.52 g cm⁻³

***

LiGa5Au6: optimized geometry, PBE.

extended XYZ file:
```
12
Lattice="5.816 1.143 1.219 1.889 6.231 3.292 1.840 1.499 7.542" Properties=species:S:1:pos:R:3 pbc="T T T"
Au 6.559 4.605 5.520
Au 5.873 1.971 3.822
Au 5.951 6.455 10.377
Au 3.594 2.418 1.677
Au 3.671 6.901 8.231
Au 2.986 4.267 6.534
Ga 5.107 2.673 6.888
Ga 3.369 2.773 4.404
Ga 0.945 3.115 1.646
Ga 6.175 6.100 7.650
Ga 4.437 6.200 5.166
Li 0.000 0.000 0.000
```

## Properties
Space-group type = P-1, No. 2
Total DFT energy (no corrections) = -3.2749 eV/atom
Energy relative to the elements = -2.587 eV per formula unit
Mass density = 11.36 g cm⁻³